Entry 1:
Ba2As3PPd4: optimized geometry, GGA-PBE.

Cell lengths 4.555, 4.555, 10.204 Å; angles 90.00, 90.00, 90.00 degrees
Atoms (fractional coordinates):
1 Ba 0.500 0.000 0.256
2 As 0.000 0.000 0.500
3 Pd 0.000 0.500 0.393
4 As 0.000 0.500 0.128
5 Pd 0.500 0.000 0.607
6 P 0.500 0.500 0.500
7 Pd 0.000 0.000 0.000
8 Ba 0.000 0.500 0.744
9 As 0.500 0.000 0.872
10 Pd 0.500 0.500 0.000

Computed properties:
ΔH_f (0 K) (eV/atom): -0.75
Total DFT energy (no corrections) (eV per cell): -51.50
Density (Mg/m³): 7.50
V (Å³/cell): 211.7



Entry 2:
Ba2AsPPd6: optimized geometry, GGA-PBE.

Cell lengths 6.586, 6.884, 6.588 Å; angles 61.38, 60.01, 89.99 degrees
Atoms (fractional coordinates):
1 P 0.500 0.500 0.000
2 Pd 0.821 0.332 0.925
3 Pd 0.744 0.667 0.512
4 Pd 0.179 0.668 0.075
5 Ba 0.282 0.846 0.435
6 Pd 0.254 0.332 0.925
7 Ba 0.718 0.154 0.565
8 Pd 0.746 0.668 0.075
9 Pd 0.256 0.333 0.488
10 As 0.000 0.000 0.000

Computed properties:
ΔH_f (0 K) (eV/atom): -0.70
Total DFT energy (no corrections) (eV per cell): -52.04
Density (Mg/m³): 7.85
V (Å³/cell): 215.5



Entry 3:
Ba2AsPPt6: optimized geometry, GGA-PBE.

Cell lengths 6.611, 6.841, 6.614 Å; angles 61.12, 60.01, 90.01 degrees
Atoms (fractional coordinates):
1 Ba 0.711 0.134 0.577
2 Pt 0.256 0.345 0.488
3 Pt 0.167 0.655 0.089
4 Pt 0.256 0.345 0.911
5 As 0.000 0.000 0.000
6 Pt 0.833 0.345 0.911
7 Ba 0.289 0.866 0.423
8 Pt 0.744 0.655 0.512
9 P 0.500 0.500 0.000
10 Pt 0.744 0.655 0.089

Computed properties:
ΔH_f (0 K) (eV/atom): -0.70
Total DFT energy (no corrections) (eV per cell): -57.13
Density (Mg/m³): 11.98
V (Å³/cell): 215.0



Entry 4:
BaAsPRh2: optimized geometry, GGA-PBE.

Cell lengths 5.709, 5.723, 7.045 Å; angles 113.96, 90.00, 90.00 degrees
Atoms (fractional coordinates):
1 P 0.750 0.092 0.185
2 Rh 0.500 0.249 0.000
3 As 0.250 0.614 0.228
4 As 0.750 0.386 0.772
5 Rh 0.500 0.751 0.000
6 Ba 0.750 0.754 0.507
7 P 0.250 0.908 0.815
8 Ba 0.250 0.246 0.493
9 Rh 0.000 0.751 0.000
10 Rh 0.000 0.249 0.000

Computed properties:
ΔH_f (0 K) (eV/atom): -0.89
Total DFT energy (no corrections) (eV per cell): -62.31
Density (Mg/m³): 7.09
V (Å³/cell): 210.3